## i
{"formula": "TaNiTe2", "functional": "GGA-PBE", "state": "relaxed", "lattice": [[-0.999, -1.139, 4.621], [0.569, -4.573, 1.554], [3.610, -1.094, 3.069]], "species": ["Te", "Ta", "Ni", "Te"], "frac_coords": [[0.250, 0.250, 0.250], [0.500, 0.500, 0.500], [0.750, 0.750, 0.750], [0.000, 0.000, 0.000]], "crystal_system": "cubic", "magnetic_moment_mub_per_cell": 0.2, "space_group": "F-43m (216)"}

## ii
{"formula": "TaNiTe2", "functional": "GGA-PBE", "state": "relaxed", "lattice": [[8.658, 0.000, 0.000], [0.000, 6.269, 0.000], [-3.606, 0.000, 7.100]], "species": ["Ni", "Ni", "Ta", "Ta", "Ta", "Te", "Ni", "Te", "Te", "Te", "Ni", "Ta", "Te", "Te", "Te", "Te"], "frac_coords": [[0.389, 0.855, 0.944], [0.611, 0.145, 0.056], [0.491, 0.010, 0.700], [0.509, 0.510, 0.800], [0.509, 0.990, 0.300], [0.803, 0.250, 0.901], [0.611, 0.355, 0.556], [0.715, 0.752, 0.622], [0.197, 0.750, 0.599], [0.803, 0.250, 0.401], [0.389, 0.645, 0.444], [0.491, 0.490, 0.200], [0.715, 0.748, 0.122], [0.285, 0.252, 0.878], [0.197, 0.750, 0.099], [0.285, 0.248, 0.378]], "crystal_system": "monoclinic", "magnetic_moment_mub_per_cell": 0.0, "space_group": "P2_1/c (14)"}

Stability ranking, top entry: ii; the second entry is 1094 meV/atom less favorable.

## i
{"formula": "TmTaNi", "functional": "GGA-PBE", "state": "relaxed", "lattice": [[-0.250, -3.576, 2.684], [-0.537, 0.545, 4.412], [-3.892, -1.082, 1.932]], "species": ["Ni", "Ta", "Tm"], "frac_coords": [[0.250, 0.250, 0.250], [0.750, 0.750, 0.750], [0.000, 0.000, 0.000]], "crystal_system": "cubic", "magnetic_moment_mub_per_cell": 1.1, "space_group": "F-43m (216)"}

## ii
{"formula": "TmTaNi", "functional": "GGA-PBE", "state": "relaxed", "lattice": [[2.088, 2.602, 2.887], [-1.654, 0.575, 4.049], [2.042, -1.768, 3.488]], "species": ["Ni", "Ta", "Tm"], "frac_coords": [[0.000, 0.000, 0.000], [0.250, 0.250, 0.250], [0.750, 0.750, 0.750]], "crystal_system": "cubic", "magnetic_moment_mub_per_cell": 0.6, "space_group": "F-43m (216)"}

Stability ranking, top entry: ii; the second entry is 1062 meV/atom less favorable.

## i
{"formula": "ZrTaNi", "functional": "GGA-PBE", "state": "relaxed", "lattice": [[-3.696, -1.718, -4.884], [-4.886, 1.378, -0.964], [0.151, 1.731, -4.833]], "species": ["Ta", "Ni", "Ni", "Zr", "Zr", "Ta"], "frac_coords": [[0.161, 0.161, 0.839], [0.250, 0.250, 0.250], [0.750, 0.750, 0.750], [0.659, 0.341, 0.659], [0.341, 0.659, 0.341], [0.839, 0.839, 0.161]], "crystal_system": "orthorhombic", "magnetic_moment_mub_per_cell": 0.0, "space_group": "Fmmm (69)"}

## ii
{"formula": "ZrTaNi", "functional": "GGA-PBE", "state": "relaxed", "lattice": [[0.457, -4.487, -2.504], [4.152, 0.130, 3.060], [-4.777, -0.153, 1.943]], "species": ["Zr", "Ta", "Ta", "Ni", "Zr", "Ni"], "frac_coords": [[0.932, 0.342, 0.090], [0.571, 0.661, 0.410], [0.252, 0.161, 0.590], [0.747, 0.747, 0.000], [0.251, 0.842, 0.910], [0.747, 0.247, 0.500]], "crystal_system": "orthorhombic", "magnetic_moment_mub_per_cell": 0.0, "space_group": "Ima2 (46)"}

Stability ranking, top entry: i; the second entry is 32 meV/atom less favorable.

## i
{"formula": "TbYNi4", "functional": "GGA-PBE", "state": "relaxed", "lattice": [[0.000, 3.579, 3.579], [3.579, 0.000, 3.579], [3.579, 3.579, 0.000]], "species": ["Ni", "Ni", "Tb", "Y", "Ni", "Ni"], "frac_coords": [[0.375, 0.375, 0.375], [0.875, 0.375, 0.375], [0.750, 0.750, 0.750], [0.000, 0.000, 0.000], [0.375, 0.375, 0.875], [0.375, 0.875, 0.375]], "crystal_system": "cubic", "magnetic_moment_mub_per_cell": 0.0, "space_group": "F-43m (216)"}

## ii
{"formula": "TbYNi4", "functional": "GGA-PBE", "state": "relaxed", "lattice": [[-4.783, 2.392, -0.125], [0.902, -3.999, 3.437], [2.505, 5.298, 5.507]], "species": ["Ni", "Tb", "Ni", "Ni", "Y", "Ni", "Ni", "Tb", "Ni", "Ni", "Y", "Ni"], "frac_coords": [[0.500, 0.000, 0.274], [0.667, 0.333, 0.000], [0.000, 0.500, 0.274], [0.000, 0.500, 0.726], [0.000, 0.000, 0.000], [0.667, 0.333, 0.500], [0.500, 0.500, 0.726], [0.333, 0.667, 0.000], [0.500, 0.000, 0.726], [0.333, 0.667, 0.500], [0.000, 0.000, 0.500], [0.500, 0.500, 0.274]], "crystal_system": "hexagonal", "magnetic_moment_mub_per_cell": 0.0, "space_group": "P6/mmm (191)"}

Stability ranking, top entry: i; the second entry is 426 meV/atom less favorable.